[1]
Be2OsBr | PBE | optimized geometry

Summary:
space group	Cmmm (65)
total magnetization	0.0	μB/cell
DOS at the Fermi energy	2.28	states/eV per cell
formation energy without anion corrections	512	meV per atom
relative energy among the computed polymorphs	294.8	meV/atom

Cell and atoms, written as CIF:
```
data_Be2OsBr
_chemical_formula_sum 'Be2 Os1 Br1'
_cell_length_a 2.9551
_cell_length_b 2.9551
_cell_length_c 7.1687
_cell_angle_alpha 90.00
_cell_angle_beta 90.00
_cell_angle_gamma 114.34
_symmetry_space_group_name_H-M 'P 1'
_symmetry_Int_Tables_number 1
_symmetry_space_group_name_Hall 'P 1'
loop_
_atom_site_label
_atom_site_type_symbol
_atom_site_fract_x
_atom_site_fract_y
_atom_site_fract_z
_atom_site_occupancy
Be1 Be 0.0000 0.0000 0.5280 1
Be2 Be 0.0000 0.0000 0.9720 1
Br1 Br 0.5000 0.5000 0.2500 1
Os1 Os 0.5000 0.5000 0.7500 1
```


[2]
Be2OsBr | PBE | optimized geometry

Summary:
space group	P4mm (99)
total magnetization	0.0	μB/cell
DOS at the Fermi energy	1.85	states/eV per cell
formation energy without anion corrections	405	meV per atom
relative energy among the computed polymorphs	187.0	meV/atom

Cell and atoms, written as CIF:
```
data_Be2OsBr
_chemical_formula_sum 'Be2 Os1 Br1'
_cell_length_a 3.0751
_cell_length_b 3.0751
_cell_length_c 7.0701
_cell_angle_alpha 90.00
_cell_angle_beta 90.00
_cell_angle_gamma 90.00
_symmetry_space_group_name_H-M 'P 1'
_symmetry_Int_Tables_number 1
_symmetry_space_group_name_Hall 'P 1'
loop_
_atom_site_label
_atom_site_type_symbol
_atom_site_fract_x
_atom_site_fract_y
_atom_site_fract_z
_atom_site_occupancy
Br1 Br 0.0000 0.0000 0.3859 1
Be1 Be 0.5000 0.5000 0.2061 1
Be2 Be 0.0000 0.0000 0.0046 1
Os1 Os 0.5000 0.5000 0.9033 1
```


[3]
Be2OsBr | PBE | optimized geometry

Summary:
space group	F-43m (216)
total magnetization	0.0	μB/cell
DOS at the Fermi energy	2.20	states/eV per cell
formation energy without anion corrections	1105	meV per atom
relative energy among the computed polymorphs	887.4	meV/atom

Cell and atoms, written as CIF:
```
data_Be2OsBr
_chemical_formula_sum 'Be2 Os1 Br1'
_cell_length_a 4.2126
_cell_length_b 4.2126
_cell_length_c 4.2126
_cell_angle_alpha 60.00
_cell_angle_beta 60.00
_cell_angle_gamma 60.00
_symmetry_space_group_name_H-M 'P 1'
_symmetry_Int_Tables_number 1
_symmetry_space_group_name_Hall 'P 1'
loop_
_atom_site_label
_atom_site_type_symbol
_atom_site_fract_x
_atom_site_fract_y
_atom_site_fract_z
_atom_site_occupancy
Br1 Br 0.5000 0.5000 0.5000 1
Os1 Os 0.7500 0.7500 0.7500 1
Be1 Be 0.2500 0.2500 0.2500 1
Be2 Be 0.0000 0.0000 0.0000 1
```


[4]
Be2OsBr | PBE | optimized geometry

Summary:
space group	C2/m (12)
total magnetization	0.0	μB/cell
DOS at the Fermi energy	2.42	states/eV per cell
formation energy without anion corrections	567	meV per atom
relative energy among the computed polymorphs	349.7	meV/atom

Cell and atoms, written as CIF:
```
data_Be2OsBr
_chemical_formula_sum 'Be2 Os1 Br1'
_cell_length_a 4.2307
_cell_length_b 4.2307
_cell_length_c 4.8542
_cell_angle_alpha 91.07
_cell_angle_beta 91.07
_cell_angle_gamma 44.49
_symmetry_space_group_name_H-M 'P 1'
_symmetry_Int_Tables_number 1
_symmetry_space_group_name_Hall 'P 1'
loop_
_atom_site_label
_atom_site_type_symbol
_atom_site_fract_x
_atom_site_fract_y
_atom_site_fract_z
_atom_site_occupancy
Os1 Os 0.2500 0.2500 0.2500 1
Be1 Be 0.9503 0.9503 0.1397 1
Be2 Be 0.5497 0.5497 0.3603 1
Br1 Br 0.7500 0.7500 0.7500 1
```


[5]
Be2OsBr | PBE | optimized geometry

Summary:
space group	I-42d (122)
total magnetization	2.0	μB/cell
DOS at the Fermi energy	0.51	states/eV per cell
formation energy without anion corrections	877	meV per atom
relative energy among the computed polymorphs	659.6	meV/atom

Cell and atoms, written as CIF:
```
data_Be2OsBr
_chemical_formula_sum 'Be4 Os2 Br2'
_cell_length_a 5.4656
_cell_length_b 5.4656
_cell_length_c 6.1876
_cell_angle_alpha 63.79
_cell_angle_beta 63.79
_cell_angle_gamma 90.00
_symmetry_space_group_name_H-M 'P 1'
_symmetry_Int_Tables_number 1
_symmetry_space_group_name_Hall 'P 1'
loop_
_atom_site_label
_atom_site_type_symbol
_atom_site_fract_x
_atom_site_fract_y
_atom_site_fract_z
_atom_site_occupancy
Os1 Os 0.0000 0.0000 0.0000 1
Os2 Os 0.7500 0.2500 0.5000 1
Be1 Be 0.6465 0.1250 0.2500 1
Be2 Be 0.8750 0.8965 0.7500 1
Be3 Be 0.3750 0.3535 0.7500 1
Be4 Be 0.1035 0.6250 0.2500 1
Br1 Br 0.2500 0.7500 0.5000 1
Br2 Br 0.5000 0.5000 0.0000 1
```


[6]
BeOsBr | PBE | optimized geometry

Summary:
space group	P3m1 (156)
total magnetization	0.0	μB/cell
DOS at the Fermi energy	3.20	states/eV per cell
formation energy without anion corrections	752	meV per atom
relative energy among the computed polymorphs	126.1	meV/atom

Cell and atoms, written as CIF:
```
data_BeOsBr
_chemical_formula_sum 'Be1 Os1 Br1'
_cell_length_a 2.9930
_cell_length_b 2.9930
_cell_length_c 5.7130
_cell_angle_alpha 90.00
_cell_angle_beta 90.00
_cell_angle_gamma 120.00
_symmetry_space_group_name_H-M 'P 1'
_symmetry_Int_Tables_number 1
_symmetry_space_group_name_Hall 'P 1'
loop_
_atom_site_label
_atom_site_type_symbol
_atom_site_fract_x
_atom_site_fract_y
_atom_site_fract_z
_atom_site_occupancy
Br1 Br 0.6667 0.3333 0.3066 1
Be1 Be 0.0000 0.0000 0.9861 1
Os1 Os 0.3333 0.6667 0.7073 1
```